VASP calculation (PBE) on a geometry-optimized NaMgCdI2 structure.

Cell: 5.9669 5.9669 6.2788 Å, 90.00 90.00 90.00°
Fractional positions:
Na (0.0000, 0.0000, 0.0000)
Mg (0.5000, 0.5000, 0.0000)
Cd (0.0000, 0.0000, 0.5000)
I (0.0000, 0.5000, 0.5000)
I (0.5000, 0.0000, 0.5000)

Results
- E_form (uncorrected): -0.03 eV per atom
- Crystal system: tetragonal
- N(E_F): 1.8 states/eV per cell